Record 1
This record from Alexandria describes a relaxed AlCd2AgTe4 crystal. The functional is PBE.

The calculation puts the uncorrected formation energy at -408 meV per atom.

It has space group I-42m (No. 121), with a = 6.512 Å, b = 6.512 Å, c = 12.721 Å, α = 90.00°, β = 90.00° and γ = 90.00°. The asymmetric unit holds Al at (0.000, 0.000, 0.000), Cd at (0.000, 0.500, 0.250), Ag at (0.000, 0.000, 0.500) and Te at (0.239, 0.239, 0.883).

=====

Record 2
This record from Alexandria describes a relaxed Rb2TbHg2Te4 crystal. The functional is PBE.

The calculation puts the uncorrected formation energy at -790 meV per atom.

It has space group C2/m (No. 12), with a = 17.640 Å, b = 4.530 Å, c = 9.015 Å, α = 90.00°, β = 113.18° and γ = 90.00°. The asymmetric unit holds Rb at (0.129, 0.000, 0.080), Tb at (0.000, 0.000, 0.500), Hg at (0.187, 0.500, 0.506), Te at (0.017, 0.500, 0.272) and Te at (0.187, 0.000, 0.721).

=====

Record 3
This record from Alexandria describes a relaxed TlReRuBr2 crystal. The functional is PBE.

The calculation puts the uncorrected formation energy at 1423 meV per atom.

It has space group P4/mmm (No. 123), with a = 4.996 Å, b = 4.996 Å, c = 5.521 Å, α = 90.00°, β = 90.00° and γ = 90.00°. The asymmetric unit holds Tl at (0.000, 0.000, 0.000), Re at (0.500, 0.500, 0.000), Ru at (0.000, 0.000, 0.500) and Br at (0.000, 0.500, 0.500).

=====

Record 4
This record from Alexandria describes a relaxed HoSnPt6 crystal. The functional is PBE.

The calculation puts the formation energy at -0.72 eV/atom.

It has space group P4/mmm (No. 123), with a = 4.087 Å, b = 4.087 Å, c = 8.160 Å, α = 90.00°, β = 90.00° and γ = 90.00°. The asymmetric unit holds Ho at (0.000, 0.000, 0.000), Sn at (0.000, 0.000, 0.500), Pt at (0.000, 0.500, 0.254), Pt at (0.500, 0.500, 0.000) and Pt at (0.500, 0.500, 0.500).

=====

Record 5
This record from Alexandria describes a relaxed Cr2InS4 crystal. The functional is PBE.

The calculation puts the uncorrected formation energy at -538 meV per atom.

It has space group Imma (No. 74), with a = 7.231 Å, b = 7.462 Å, c = 10.412 Å, α = 90.00°, β = 90.00° and γ = 90.00°. The asymmetric unit holds Cr at (0.000, 0.250, 0.132), Cr at (0.250, 0.250, 0.750), In at (0.000, 0.000, 0.500), S at (0.000, 0.026, 0.752) and S at (0.248, 0.250, 0.985).

=====

Record 6
This record from Alexandria describes a relaxed YLuNb4 crystal. The functional is PBE.

The calculation puts the formation energy at 0.16 eV/atom.

It has space group F-43m (No. 216), with a = 8.075 Å, b = 8.075 Å, c = 8.075 Å, α = 90.00°, β = 90.00° and γ = 90.00°. The asymmetric unit holds Y at (0.000, 0.000, 0.000), Lu at (0.250, 0.250, 0.750) and Nb at (0.125, 0.125, 0.375).

=====

Record 7
This record from Alexandria describes a relaxed YNiAu2 crystal. The functional is PBE.

The calculation puts the formation energy at -0.21 eV/atom.

It has space group I-42d (No. 122), with a = 3.993 Å, b = 3.993 Å, c = 19.923 Å, α = 90.00°, β = 90.00° and γ = 90.00°. The asymmetric unit holds Y at (0.000, 0.000, 0.000), Ni at (0.000, 0.000, 0.500) and Au at (0.230, 0.250, 0.625).

=====

Record 8
This record from Alexandria describes a relaxed MnAlIn4 crystal. The functional is PBE.

The calculation puts the formation energy at 0.51 eV/atom.

It has space group F-43m (No. 216), with a = 8.484 Å, b = 8.484 Å, c = 8.484 Å, α = 90.00°, β = 90.00° and γ = 90.00°. The asymmetric unit holds Mn at (0.000, 0.000, 0.000), Al at (0.250, 0.250, 0.750) and In at (0.125, 0.125, 0.375).

=====

Record 9
This record from Alexandria describes a relaxed SmSbSO2 crystal. The functional is PBE.

The calculation puts the uncorrected formation energy at -1986 meV per atom.

It has space group P2_1/m (No. 11), with a = 6.490 Å, b = 3.963 Å, c = 7.623 Å, α = 90.00°, β = 105.47° and γ = 90.00°. The asymmetric unit holds Sm at (0.207, 0.250, 0.417), Sb at (0.184, 0.250, 0.920), S at (0.443, 0.750, 0.278), O at (0.018, 0.250, 0.644) and O at (0.025, 0.750, 0.897).

=====

Record 10
This record from Alexandria describes a relaxed SbN crystal. The functional is PBE.

The calculation puts the uncorrected formation energy at 599 meV per atom.

It has space group Pmmn (No. 59, origin choice 2), with a = 3.329 Å, b = 13.859 Å, c = 4.489 Å, α = 90.00°, β = 90.00° and γ = 90.00°. The asymmetric unit holds Sb at (0.250, 0.069, 0.248), Sb at (0.250, 0.750, 0.253), N at (0.250, 0.250, 0.057) and N at (0.250, 0.584, 0.457).

=====

Record 11
This record from Alexandria describes a relaxed TaAgSe2O crystal. The functional is PBE.

The calculation puts the uncorrected formation energy at 38 meV per atom.

It has space group P4/mmm (No. 123), with a = 5.135 Å, b = 5.135 Å, c = 3.787 Å, α = 90.00°, β = 90.00° and γ = 90.00°. The asymmetric unit holds Ta at (0.000, 0.000, 0.000), Ag at (0.500, 0.500, 0.000), Se at (0.000, 0.500, 0.500) and O at (0.000, 0.000, 0.500).

=====

Record 12
This record from Alexandria describes a relaxed FePtAu3 crystal. The functional is PBE.

The calculation puts the formation energy at 1.19 eV/atom.

It has space group Pm-3m (No. 221), with a = 5.053 Å, b = 5.053 Å, c = 5.053 Å, α = 90.00°, β = 90.00° and γ = 90.00°. The asymmetric unit holds Fe at (0.000, 0.000, 0.000), Pt at (0.500, 0.500, 0.500) and Au at (0.000, 0.500, 0.500).